Version one
Density functional theory data (PBE) for a relaxed structure of TiTe2I.

## Properties
Its crystal system is tetragonal. The calculation puts the size of the total moment at 0.0 μB per formula unit.

Lattice parameters (Å, degrees): 7.3604 7.3604 7.9088 62.27 62.27 90.00
Fractional coordinates of all 8 atoms:
I 0.0000 0.0000 0.0000
I 0.7500 0.2500 0.5000
Te 0.5275 0.1250 0.2500
Te 0.2225 0.6250 0.2500
Te 0.3750 0.4725 0.7500
Te 0.8750 0.7775 0.7500
Ti 0.5000 0.5000 0.0000
Ti 0.2500 0.7500 0.5000

---

Version two
Density functional theory data (PBE) for a relaxed structure of TiTe2I.

## Properties
Its crystal system is triclinic. The calculation puts the size of the total moment at 0.6 μB per formula unit.

Lattice parameters (Å, degrees): 3.6274 3.6179 12.9750 81.72 65.64 119.89
Last column: magnetic moment on the atom in μB.
Fractional coordinates of all 4 atoms:
Ti 0.9616 0.0536 0.1538  0.47
Te 0.2436 0.1088 0.3203  -0.02
Te 0.2118 0.9373 0.6186  0.00
I 0.0452 0.6888 0.9727  -0.01

---

Version three
Density functional theory data (PBE) for a relaxed structure of TiTe2I.

## Properties
Its crystal system is trigonal. The calculation puts the size of the total moment at 1.5 μB per formula unit.

Lattice parameters (Å, degrees): 14.0616 14.0616 14.0616 13.43 13.43 13.43
Last column: magnetic moment on the atom in μB.
Fractional coordinates of all 4 atoms:
I 0.5000 0.5000 0.5000  0.01
Te 0.0657 0.0657 0.0657  0.01
Te 0.9343 0.9343 0.9343  0.01
Ti 0.0000 0.0000 0.0000  1.01

---

Top of the stability list: version two, leading by 186 meV/atom.

---

Version one
Density functional theory data (PBE) for a relaxed structure of Ti2TeI.

## Properties
Its crystal system is tetragonal. The calculation puts the size of the total moment at 5.0 μB per formula unit.

Lattice parameters (Å, degrees): 6.4774 6.4774 7.8108 65.50 65.50 90.00
Last column: magnetic moment on the atom in μB.
Fractional coordinates of all 8 atoms:
I 0.0000 0.0000 0.0000  -0.03
I 0.7500 0.2500 0.5000  -0.03
Te 0.5000 0.5000 0.0000  -0.07
Te 0.2500 0.7500 0.5000  -0.07
Ti 0.6175 0.1250 0.2500  1.88
Ti 0.1325 0.6250 0.2500  1.89
Ti 0.3750 0.3825 0.7500  1.89
Ti 0.8750 0.8675 0.7500  1.89

---

Version two
Density functional theory data (PBE) for a relaxed structure of Ti2TeI.

## Properties
Its crystal system is cubic. The calculation puts the size of the total moment at 0.8 μB per formula unit.

Lattice parameters (Å, degrees): 4.8792 4.8792 4.8792 60.00 60.00 60.00
Last column: magnetic moment on the atom in μB.
Fractional coordinates of all 4 atoms:
I 0.5000 0.5000 0.5000  -0.01
Te 0.0000 0.0000 0.0000  -0.02
Ti 0.2500 0.2500 0.2500  0.34
Ti 0.7500 0.7500 0.7500  0.34

---

Top of the stability list: version two, leading by 198 meV/atom.

---

Version one
Density functional theory data (PBE) for a relaxed structure of TiTeI.

## Properties
Its crystal system is monoclinic. The calculation puts the size of the total moment at 1.0 μB per formula unit.

Lattice parameters (Å, degrees): 7.7838 7.8039 8.6856 47.96 90.00 90.00
Last column: magnetic moment on the atom in μB.
Fractional coordinates of all 12 atoms:
Te 0.3738 0.7433 0.9873  -0.06
Te 0.6262 0.2567 0.0127  -0.06
Te 0.8738 0.7567 0.5127  -0.06
Te 0.1262 0.2433 0.4873  -0.06
I 0.8818 0.7271 0.0002  -0.03
I 0.6182 0.2271 0.5002  -0.03
I 0.1182 0.2729 0.9998  -0.03
I 0.3818 0.7729 0.4998  -0.03
Ti 0.3707 0.2805 0.2221  0.87
Ti 0.6293 0.7195 0.7779  0.87
Ti 0.1293 0.7805 0.7221  0.87
Ti 0.8707 0.2195 0.2779  0.87

---

Version two
Density functional theory data (PBE) for a relaxed structure of TiTeI.

## Properties
Its crystal system is trigonal. The calculation puts the size of the total moment at 1.0 μB per formula unit.

Lattice parameters (Å, degrees): 3.8975 3.8975 7.2910 90.00 90.00 120.00
Last column: magnetic moment on the atom in μB.
Fractional coordinates of all 3 atoms:
I 0.0000 0.0000 0.0939  -0.02
Te 0.3333 0.6667 0.5642  -0.04
Ti 0.6667 0.3333 0.3419  0.84

---

Top of the stability list: version one, leading by 11 meV/atom.

---

Version one
Density functional theory data (PBE) for a relaxed structure of TiTe2I2.

## Properties
Its crystal system is tetragonal. The calculation puts the size of the total moment at 2.0 μB per formula unit.

Lattice parameters (Å, degrees): 4.0542 4.0542 12.6150 80.75 80.75 90.00
Last column: magnetic moment on the atom in μB.
Fractional coordinates of all 5 atoms:
I 0.4284 0.4284 0.1433  -0.05
I 0.5716 0.5716 0.8567  -0.05
Te 0.7500 0.2500 0.5000  -0.01
Te 0.2500 0.7500 0.5000  -0.01
Ti 0.0000 0.0000 0.0000  1.75

---

Version two
Density functional theory data (PBE) for a relaxed structure of TiTe2I2.

## Properties
Its crystal system is monoclinic. The calculation puts the size of the total moment at 0.0 μB per formula unit.

Lattice parameters (Å, degrees): 7.3565 7.4754 8.2328 81.25 71.99 60.52
Fractional coordinates of all 10 atoms:
Ti 0.1370 0.7260 0.0000
Ti 0.8630 0.2740 0.0000
Te 0.9107 0.0000 0.2961
Te 0.6845 0.0000 0.0945
Te 0.3155 0.0000 0.9055
Te 0.0893 0.0000 0.7039
I 0.5351 0.4274 0.7878
I 0.4649 0.5726 0.2122
I 0.9625 0.5726 0.7878
I 0.0375 0.4274 0.2122

---

Version three
Density functional theory data (PBE) for a relaxed structure of TiTe2I2.

## Properties
Its crystal system is tetragonal. The calculation puts the size of the total moment at 0.0 μB per formula unit.

Lattice parameters (Å, degrees): 7.2701 7.2701 6.9575 90.00 90.00 90.00
Fractional coordinates of all 10 atoms:
I 0.3238 0.8238 0.0000
I 0.8238 0.6762 0.0000
I 0.6762 0.1762 0.0000
I 0.1762 0.3238 0.0000
Te 0.1294 0.6294 0.5000
Te 0.6294 0.8706 0.5000
Te 0.8706 0.3706 0.5000
Te 0.3706 0.1294 0.5000
Ti 0.0000 0.0000 0.0000
Ti 0.5000 0.5000 0.0000

---

Top of the stability list: version two, leading by 539 meV/atom.

---

Version one
Density functional theory data (PBE) for a relaxed structure of TiZnTeI2.

## Properties
Its crystal system is tetragonal. The calculation puts the size of the total moment at 0.1 μB per formula unit.

Lattice parameters (Å, degrees): 5.6182 5.6182 5.3346 90.00 90.00 90.00
Last column: magnetic moment on the atom in μB.
Fractional coordinates of all 5 atoms:
I 0.0000 0.5000 0.0000  -0.01
I 0.5000 0.0000 0.0000  -0.01
Zn 0.5000 0.5000 0.5000  -0.01
Te 0.0000 0.0000 0.5000  -0.03
Ti 0.0000 0.0000 0.0000  0.19

---

Version two
Density functional theory data (PBE) for a relaxed structure of TiZnTeI2.

## Properties
Its crystal system is tetragonal. The calculation puts the size of the total moment at 0.1 μB per formula unit.

Lattice parameters (Å, degrees): 5.4090 5.4090 5.4842 90.00 90.00 90.00
Last column: magnetic moment on the atom in μB.
Fractional coordinates of all 5 atoms:
I 0.0000 0.5000 0.0000  0.00
I 0.5000 0.0000 0.0000  0.00
Zn 0.0000 0.0000 0.0000  0.00
Te 0.0000 0.0000 0.5000  0.03
Ti 0.5000 0.5000 0.5000  -0.12

---

Top of the stability list: version one, leading by 631 meV/atom.

---

Version one
Density functional theory data (PBE) for a relaxed structure of Tl4TeI2.

## Properties
Its crystal system is tetragonal. The calculation puts the size of the total moment at 0.0 μB per formula unit.

Lattice parameters (Å, degrees): 6.4790 6.4790 10.0425 71.18 71.18 90.00
Fractional coordinates of all 7 atoms:
I 0.3767 0.3767 0.2466
I 0.6233 0.6233 0.7534
Tl 0.1764 0.1764 0.6473
Tl 0.8236 0.8236 0.3527
Tl 0.0000 0.5000 0.0000
Tl 0.5000 0.0000 0.0000
Te 0.0000 0.0000 0.0000

---

Version two
Density functional theory data (PBE) for a relaxed structure of Tl4TeI2.

## Properties
Its crystal system is tetragonal. The calculation puts the size of the total moment at 0.0 μB per formula unit.

Lattice parameters (Å, degrees): 9.2628 9.2628 9.2690 108.62 108.62 111.17
Fractional coordinates of all 14 atoms:
Tl 0.9588 0.6424 0.6834
Tl 0.2912 0.1076 0.8166
Tl 0.9590 0.2754 0.3166
Tl 0.3576 0.0413 0.3166
Tl 0.7246 0.0410 0.6834
Tl 0.2910 0.4746 0.1834
Tl 0.8924 0.7088 0.1834
Tl 0.5254 0.7090 0.8166
Te 0.2500 0.7500 0.5000
Te 0.0000 0.0000 0.0000
I 0.6250 0.8750 0.2500
I 0.6250 0.3750 0.7500
I 0.1250 0.3750 0.7500
I 0.6250 0.3750 0.2500

---

Version three
Density functional theory data (PBE) for a relaxed structure of Tl4TeI2.

## Properties
Its crystal system is orthorhombic. The calculation puts the size of the total moment at 0.0 μB per formula unit.

Lattice parameters (Å, degrees): 4.8035 8.9515 15.1749 90.00 90.00 105.56
Fractional coordinates of all 14 atoms:
Tl 0.7850 0.5699 0.1368
Tl 0.7850 0.5699 0.3632
Tl 0.2150 0.4301 0.8632
Tl 0.2150 0.4301 0.6368
Tl 0.9832 0.9664 0.7500
Tl 0.0168 0.0336 0.2500
Tl 0.5000 0.0000 0.0000
Tl 0.5000 0.0000 0.5000
Te 0.6102 0.2203 0.7500
Te 0.3898 0.7797 0.2500
I 0.1357 0.2713 0.4394
I 0.8643 0.7287 0.9394
I 0.1357 0.2713 0.0606
I 0.8643 0.7287 0.5606

---

Top of the stability list: version three, leading by 12 meV/atom.

---

Version one
Density functional theory data (PBE) for a relaxed structure of TlTe3I.

## Properties
Its crystal system is cubic. The calculation puts the size of the total moment at 0.0 μB per formula unit.

Lattice parameters (Å, degrees): 5.9276 5.9276 5.9276 90.00 90.00 90.00
Fractional coordinates of all 5 atoms:
I 0.0000 0.0000 0.0000
Tl 0.5000 0.5000 0.5000
Te 0.0000 0.5000 0.0000
Te 0.0000 0.0000 0.5000
Te 0.5000 0.0000 0.0000

---

Version two
Density functional theory data (PBE) for a relaxed structure of TlTe3I.

## Properties
Its crystal system is cubic. The calculation puts the size of the total moment at 0.0 μB per formula unit.

Lattice parameters (Å, degrees): 5.8026 5.8026 5.8026 90.00 90.00 90.00
Fractional coordinates of all 5 atoms:
I 0.5000 0.5000 0.5000
Tl 0.0000 0.0000 0.0000
Te 0.0000 0.5000 0.0000
Te 0.0000 0.0000 0.5000
Te 0.5000 0.0000 0.0000

---

Top of the stability list: version one, leading by 170 meV/atom.

---

Version one
Density functional theory data (PBE) for a relaxed structure of TlTeI2.

## Properties
Its crystal system is tetragonal. The calculation puts the size of the total moment at 0.0 μB per formula unit.

Lattice parameters (Å, degrees): 6.1027 6.1027 11.0560 73.98 73.98 90.00
Fractional coordinates of all 8 atoms:
I 0.5696 0.1250 0.2500
I 0.1804 0.6250 0.2500
I 0.3750 0.4304 0.7500
I 0.8750 0.8196 0.7500
Tl 0.0000 0.0000 0.0000
Tl 0.7500 0.2500 0.5000
Te 0.5000 0.5000 0.0000
Te 0.2500 0.7500 0.5000

---

Version two
Density functional theory data (PBE) for a relaxed structure of TlTeI2.

## Properties
Its crystal system is cubic. The calculation puts the size of the total moment at 2.6 μB per formula unit.

Lattice parameters (Å, degrees): 5.9424 5.9424 5.9424 60.00 60.00 60.00
Last column: magnetic moment on the atom in μB.
Fractional coordinates of all 4 atoms:
I 0.2500 0.2500 0.2500  0.26
I 0.7500 0.7500 0.7500  0.26
Tl 0.5000 0.5000 0.5000  0.03
Te 0.0000 0.0000 0.0000  0.97

---

Top of the stability list: version one, leading by 138 meV/atom.

---

Version one
Density functional theory data (PBE) for a relaxed structure of Tl3TeI.

## Properties
Its crystal system is cubic. The calculation puts the size of the total moment at 0.0 μB per formula unit.

Lattice parameters (Å, degrees): 6.5240 6.5240 6.5240 90.00 90.00 90.00
Fractional coordinates of all 5 atoms:
I 0.5000 0.5000 0.5000
Tl 0.0000 0.5000 0.0000
Tl 0.0000 0.0000 0.5000
Tl 0.5000 0.0000 0.0000
Te 0.0000 0.0000 0.0000

---

Version two
Density functional theory data (PBE) for a relaxed structure of Tl3TeI.

## Properties
Its crystal system is triclinic. The calculation puts the size of the total moment at 0.0 μB per formula unit.

Lattice parameters (Å, degrees): 7.9871 7.9973 8.8806 63.22 63.21 59.93
Fractional coordinates of all 10 atoms:
Tl 0.8456 0.3838 0.7907
Tl 0.9802 0.8453 0.7907
Tl 0.3834 0.9805 0.7908
Tl 0.1544 0.6162 0.2093
Tl 0.0198 0.1547 0.2093
Tl 0.6166 0.0195 0.2092
Te 0.8212 0.8210 0.5367
Te 0.1788 0.1790 0.4633
I 0.3896 0.3887 0.8317
I 0.6104 0.6113 0.1683

---

Top of the stability list: version two, leading by 259 meV/atom.

---

Version one
Density functional theory data (PBE) for a relaxed structure of Tl8Te4I.

## Properties
Its crystal system is cubic. The calculation puts the size of the total moment at 0.0 μB per formula unit.

Lattice parameters (Å, degrees): 9.8231 9.8231 9.8231 60.00 60.00 60.00
Fractional coordinates of all 13 atoms:
Tl 0.5834 0.1389 0.1389
Tl 0.1389 0.5834 0.1389
Tl 0.1389 0.1389 0.5834
Tl 0.1389 0.1389 0.1389
Tl 0.1745 0.6085 0.6085
Tl 0.6085 0.1745 0.6085
Tl 0.6085 0.6085 0.1745
Tl 0.6085 0.6085 0.6085
Te 0.8851 0.3716 0.3716
Te 0.3716 0.8851 0.3716
Te 0.3716 0.3716 0.8851
Te 0.3716 0.3716 0.3716
I 0.7500 0.7500 0.7500

---

Version two
Density functional theory data (PBE) for a relaxed structure of Tl8Te4I.

## Properties
Its crystal system is trigonal. The calculation puts the size of the total moment at 0.0 μB per formula unit.

Lattice parameters (Å, degrees): 9.7918 9.7918 9.7918 57.87 57.87 57.87
Fractional coordinates of all 13 atoms:
Tl 0.2409 0.7359 0.2409
Tl 0.7591 0.7591 0.2641
Tl 0.7591 0.2641 0.7591
Tl 0.2641 0.7591 0.7591
Tl 0.7389 0.7389 0.7389
Tl 0.2611 0.2611 0.2611
Tl 0.7359 0.2409 0.2409
Tl 0.2409 0.2409 0.7359
Te 0.5000 0.0000 0.5000
Te 0.0000 0.5000 0.5000
Te 0.5000 0.5000 0.0000
Te 0.0000 0.0000 0.0000
I 0.5000 0.5000 0.5000

---

Top of the stability list: version two, leading by 13 meV/atom.